Entry 1:
{"formula": "PmTeIO4", "functional": "GGA-PBE", "state": "optimized geometry", "lattice": [[-4.023, 0.097, -5.544], [3.180, -1.100, -5.967], [-1.214, -6.875, -1.214]], "species": ["O", "O", "O", "O", "O", "O", "O", "O", "Pm", "Pm", "I", "I", "Te", "Te"], "frac_coords": [[0.463, 0.463, 0.807], [0.884, 0.515, 0.862], [0.537, 0.537, 0.193], [0.485, 0.116, 0.138], [0.696, 0.696, 0.475], [0.515, 0.884, 0.862], [0.116, 0.485, 0.138], [0.304, 0.304, 0.525], [0.253, 0.253, 0.863], [0.747, 0.747, 0.137], [0.996, 0.996, 0.748], [0.004, 0.004, 0.252], [0.371, 0.371, 0.258], [0.629, 0.629, 0.742]], "m_tot_mub_per_fu": 0.00, "space_group": "C2/m (12)", "raw_formation_energy_ev_per_atom": -1.583, "density_g_cm3": 5.32, "crystal_system": "monoclinic"}

***

Entry 2:
{"formula": "PmTi2IO8", "functional": "GGA-PBE", "state": "optimized geometry", "lattice": [[-4.279, 2.449, -0.216], [-1.262, -1.284, -4.595], [-3.868, -5.392, 1.933]], "species": ["O", "O", "O", "O", "O", "O", "O", "O", "Ti", "Ti", "I", "Pm"], "frac_coords": [[0.677, 0.677, 0.484], [0.278, 0.278, 0.954], [0.222, 0.789, 0.769], [0.778, 0.211, 0.231], [0.722, 0.722, 0.046], [0.789, 0.222, 0.769], [0.211, 0.778, 0.231], [0.323, 0.323, 0.516], [0.441, 0.441, 0.730], [0.559, 0.559, 0.270], [0.000, 0.000, 0.000], [0.000, 0.000, 0.500]], "m_tot_mub_per_fu": 0.00, "space_group": "C2/m (12)", "raw_formation_energy_ev_per_atom": -2.211, "density_g_cm3": 4.97, "crystal_system": "monoclinic"}

***

Entry 3:
{"formula": "PmTl3I2O9", "functional": "GGA-PBE", "state": "optimized geometry", "lattice": [[-0.522, -4.962, -3.455], [2.569, -0.378, 5.485], [-6.608, -1.393, 2.999]], "species": ["I", "I", "O", "O", "O", "O", "O", "O", "O", "O", "O", "Tl", "Tl", "Tl", "Pm"], "frac_coords": [[0.667, 0.333, 0.830], [0.333, 0.667, 0.170], [0.000, 0.500, 0.000], [0.633, 0.816, 0.317], [0.816, 0.633, 0.683], [0.500, 0.500, 0.000], [0.184, 0.367, 0.317], [0.500, 0.000, 0.000], [0.367, 0.184, 0.683], [0.816, 0.184, 0.683], [0.184, 0.816, 0.317], [0.000, 0.000, 0.000], [0.333, 0.667, 0.688], [0.667, 0.333, 0.312], [0.000, 0.000, 0.500]], "m_tot_mub_per_fu": 0.00, "space_group": "P-3m1 (164)", "raw_formation_energy_ev_per_atom": -0.936, "density_g_cm3": 8.15, "crystal_system": "trigonal"}

***

Repeat the third record exactly.
{"formula": "PmTl3I2O9", "functional": "GGA-PBE", "state": "optimized geometry", "lattice": [[-0.522, -4.962, -3.455], [2.569, -0.378, 5.485], [-6.608, -1.393, 2.999]], "species": ["I", "I", "O", "O", "O", "O", "O", "O", "O", "O", "O", "Tl", "Tl", "Tl", "Pm"], "frac_coords": [[0.667, 0.333, 0.830], [0.333, 0.667, 0.170], [0.000, 0.500, 0.000], [0.633, 0.816, 0.317], [0.816, 0.633, 0.683], [0.500, 0.500, 0.000], [0.184, 0.367, 0.317], [0.500, 0.000, 0.000], [0.367, 0.184, 0.683], [0.816, 0.184, 0.683], [0.184, 0.816, 0.317], [0.000, 0.000, 0.000], [0.333, 0.667, 0.688], [0.667, 0.333, 0.312], [0.000, 0.000, 0.500]], "m_tot_mub_per_fu": 0.00, "space_group": "P-3m1 (164)", "raw_formation_energy_ev_per_atom": -0.936, "density_g_cm3": 8.15, "crystal_system": "trigonal"}

***

Repeat the second record exactly.
{"formula": "PmTi2IO8", "functional": "GGA-PBE", "state": "optimized geometry", "lattice": [[-4.279, 2.449, -0.216], [-1.262, -1.284, -4.595], [-3.868, -5.392, 1.933]], "species": ["O", "O", "O", "O", "O", "O", "O", "O", "Ti", "Ti", "I", "Pm"], "frac_coords": [[0.677, 0.677, 0.484], [0.278, 0.278, 0.954], [0.222, 0.789, 0.769], [0.778, 0.211, 0.231], [0.722, 0.722, 0.046], [0.789, 0.222, 0.769], [0.211, 0.778, 0.231], [0.323, 0.323, 0.516], [0.441, 0.441, 0.730], [0.559, 0.559, 0.270], [0.000, 0.000, 0.000], [0.000, 0.000, 0.500]], "m_tot_mub_per_fu": 0.00, "space_group": "C2/m (12)", "raw_formation_energy_ev_per_atom": -2.211, "density_g_cm3": 4.97, "crystal_system": "monoclinic"}